The following is a DFT calculation (GGA-PBE) of a relaxed NpPbBr6 crystal.

Calculated values
E_form (uncorrected): -1102 meV per atom
space group: C2/m, No. 12
total moment: 3.0 μB per formula unit
energy above the lowest structure with this stoichiometry: 0 meV/atom

```
8
Lattice="3.636 -6.384 0.000 3.636 6.384 0.000 -2.053 0.000 6.955" Properties=species:S:1:pos:R:3 pbc="T T T"
Np 0.000 0.000 0.000
Pb 2.609 0.000 3.478
Br 1.159 1.942 1.632
Br 0.203 0.000 5.360
Br 1.159 -1.942 1.632
Br 4.060 1.942 5.324
Br 5.015 0.000 1.595
Br 4.060 -1.942 5.324
```

The following is a DFT calculation (GGA-PBE) of a relaxed CoNi6Pt crystal.

Calculated values
space group: Cmmm, No. 65
energy relative to the elements: -2.6 kJ per mole of atoms
total moment: 6.2 μB per formula unit
energy above the lowest structure with this stoichiometry: 0 meV/atom

```
32
Lattice="3.580 -5.082 0.000 3.580 5.082 0.000 0.000 0.000 10.188" Properties=species:S:1:pos:R:3 pbc="T T T"
Co 0.000 0.000 2.521
Co 0.000 0.000 7.666
Co 3.580 2.540 0.000
Co 3.580 -2.540 0.000
Ni 0.000 0.000 0.000
Ni 0.000 0.000 5.094
Ni 1.752 1.291 1.228
Ni 1.752 1.291 8.960
Ni 1.747 1.253 3.769
Ni 1.747 1.253 6.419
Ni 3.580 2.582 2.472
Ni 3.580 2.582 7.715
Ni 1.747 -1.253 3.769
Ni 1.747 -1.253 6.419
Ni 1.752 -1.291 1.228
Ni 1.752 -1.291 8.960
Ni 3.580 0.000 0.000
Ni 3.580 0.000 5.094
Ni 5.408 1.291 1.228
Ni 5.408 1.291 8.960
Ni 5.414 1.253 3.769
Ni 5.414 1.253 6.419
Ni 3.580 -2.582 2.472
Ni 3.580 -2.582 7.715
Ni 5.414 -1.253 3.769
Ni 5.414 -1.253 6.419
Ni 5.408 -1.291 1.228
Ni 5.408 -1.291 8.960
Pt 3.580 2.529 5.094
Pt 3.580 0.000 2.520
Pt 3.580 0.000 7.668
Pt 3.580 -2.529 5.094
```

The following is a DFT calculation (GGA-PBE) of a relaxed Sr2TeO crystal.

Calculated values
E_form (uncorrected): -1977 meV per atom
space group: R-3m, No. 166
total moment: 0.0 μB per formula unit
energy above the lowest structure with this stoichiometry: 261 meV/atom

```
4
Lattice="2.076 1.199 7.108 -2.076 1.199 7.108 0.000 -2.397 7.108" Properties=species:S:1:pos:R:3 pbc="T T T"
Sr 0.000 0.000 4.954
Sr 0.000 0.000 16.370
Te 0.000 0.000 0.000
O 0.000 0.000 10.662
```

The following is a DFT calculation (GGA-PBE) of a relaxed Pa5Te5Se2 crystal.

Calculated values
E_form (uncorrected): -820 meV per atom
space group: C2/m, No. 12
total moment: 7.0 μB per formula unit

```
12
Lattice="7.058 -2.054 0.000 7.058 2.054 0.000 -4.311 0.000 12.222" Properties=species:S:1:pos:R:3 pbc="T T T"
Pa 0.000 0.000 0.000
Pa -0.010 0.000 5.232
Pa 3.764 0.000 2.536
Pa 6.041 0.000 9.686
Pa 9.814 0.000 6.990
Te 0.831 0.000 8.204
Te 0.539 0.000 11.646
Te 4.902 0.000 6.111
Te 9.265 0.000 0.576
Te 8.973 0.000 4.018
Se -3.083 0.000 9.629
Se 12.888 0.000 2.593
```

The following is a DFT calculation (GGA-PBE) of a relaxed CdSeN crystal.

Calculated values
E_form (uncorrected): -346 meV per atom
space group: P2_1/c, No. 14
total moment: 0.0 μB per formula unit
energy above the lowest structure with this stoichiometry: 0 meV/atom

```
12
Lattice="10.972 0.000 0.000 0.000 4.466 0.000 -0.006 0.000 7.749" Properties=species:S:1:pos:R:3 pbc="T T T"
Cd 1.096 0.007 2.587
Cd 1.093 2.226 6.461
Cd 9.873 2.239 1.288
Cd 9.870 4.459 5.163
Se 1.798 2.238 1.293
Se 1.795 4.460 5.167
Se 9.171 0.005 2.582
Se 9.168 2.228 6.457
N 5.325 0.404 7.399
N 5.328 1.829 3.525
N 5.638 2.637 4.225
N 5.641 4.061 0.350
```

The following is a DFT calculation (GGA-PBE) of a relaxed AcAgSn2Pd crystal.

Calculated values
space group: I-4m2, No. 119
energy relative to the elements: -57.6 kJ per mole of atoms
total moment: 0.0 μB per formula unit

```
5
Lattice="-2.378 2.378 5.563 2.378 -2.378 5.563 2.378 2.378 -5.563" Properties=species:S:1:pos:R:3 pbc="T T T"
Ac 0.000 0.000 0.000
Ag 2.378 0.000 2.781
Sn 0.000 0.000 4.138
Sn 0.000 0.000 6.987
Pd 0.000 2.378 2.781
```

The following is a DFT calculation (GGA-PBE) of a relaxed BaLiPRh crystal.

Calculated values
space group: P4/nmm, No. 129
energy relative to the elements: -60.4 kJ per mole of atoms
total moment: 0.0 μB per formula unit

```
8
Lattice="3.995 0.000 0.000 0.000 3.995 0.000 0.000 0.000 12.741" Properties=species:S:1:pos:R:3 pbc="T T T"
Ba 0.999 0.999 2.952
Ba 2.996 2.996 9.790
Li 0.999 2.996 6.371
Li 2.996 0.999 6.371
P 0.999 0.999 11.426
P 2.996 2.996 1.315
Rh 0.999 2.996 0.000
Rh 2.996 0.999 0.000
```

The following is a DFT calculation (GGA-PBE) of a relaxed Y5In2O2 crystal.

Calculated values
E_form (uncorrected): -1504 meV per atom
space group: Imma, No. 74
total moment: 0.0 μB per formula unit

```
18
Lattice="-3.387 9.359 3.415 3.387 -9.359 3.415 3.387 9.359 -3.415" Properties=species:S:1:pos:R:3 pbc="T T T"
Y 1.693 4.679 -1.708
Y 1.693 -4.679 1.708
Y 0.000 2.554 0.396
Y 1.693 9.210 -1.708
Y 1.693 -0.149 1.708
Y 0.000 6.805 0.396
Y 3.387 2.554 3.019
Y -1.693 9.508 1.708
Y 1.693 9.508 1.708
Y 3.387 6.805 3.019
In 3.387 2.324 -0.114
In 3.387 7.035 -0.114
In 0.000 2.324 3.529
In 0.000 7.035 3.529
O 0.000 0.000 0.000
O 3.387 -4.679 3.205
O 0.000 9.359 0.000
O 0.000 14.038 0.210
```

The following is a DFT calculation (GGA-PBE) of a relaxed ZnTeP3 crystal.

Calculated values
E_form (uncorrected): 893 meV per atom
space group: Pm-3m, No. 221
total moment: 0.0 μB per formula unit
energy above the lowest structure with this stoichiometry: 0 meV/atom

```
5
Lattice="4.662 0.000 0.000 0.000 4.662 0.000 0.000 0.000 4.662" Properties=species:S:1:pos:R:3 pbc="T T T"
Zn 0.000 0.000 0.000
Te 2.331 2.331 2.331
P 0.000 0.000 2.331
P 0.000 2.331 0.000
P 2.331 0.000 0.000
```

The following is a DFT calculation (GGA-PBE) of a relaxed Y3BeW crystal.

Calculated values
space group: Pm-3m, No. 221
energy relative to the elements: 96.5 kJ per mole of atoms
total moment: 0.0 μB per formula unit
energy above the lowest structure with this stoichiometry: 22 meV/atom

```
5
Lattice="5.380 0.000 0.000 0.000 5.380 0.000 0.000 0.000 5.380" Properties=species:S:1:pos:R:3 pbc="T T T"
Y 0.000 0.000 2.690
Y 0.000 2.690 0.000
Y 2.690 0.000 0.000
Be 2.690 2.690 2.690
W 0.000 0.000 0.000
```

The following is a DFT calculation (GGA-PBE) of a relaxed IrPbO4 crystal.

Calculated values
E_form (uncorrected): -768 meV per atom
space group: C2/c, No. 15
total moment: 0.0 μB per formula unit
energy above the lowest structure with this stoichiometry: 44 meV/atom

```
12
Lattice="3.575 -5.532 0.000 3.575 5.532 0.000 -2.897 0.000 4.206" Properties=species:S:1:pos:R:3 pbc="T T T"
Ir 1.403 4.637 3.154
Ir 2.851 -4.637 1.051
Pb 2.851 1.659 1.051
Pb 1.403 -1.659 3.154
O 0.077 3.283 3.395
O -0.685 0.467 2.967
O 0.763 -0.467 0.864
O 2.729 3.283 2.914
O 1.525 -3.283 1.292
O 3.491 0.467 3.342
O 4.939 -0.467 1.239
O 4.177 -3.283 0.811
```

The following is a DFT calculation (GGA-PBE) of a relaxed Ho2Tm3Ga4 crystal.

Calculated values
space group: P2_1/c, No. 14
energy relative to the elements: -55.9 kJ per mole of atoms
total moment: 0.0 μB per formula unit
energy above the lowest structure with this stoichiometry: 0 meV/atom

```
18
Lattice="7.841 0.000 0.000 0.000 7.891 0.000 -2.086 0.000 7.006" Properties=species:S:1:pos:R:3 pbc="T T T"
Ho 1.331 1.463 0.505
Ho 0.288 2.482 4.008
Ho 5.467 5.408 2.998
Ho 4.424 6.428 6.501
Tm 1.351 5.321 1.762
Tm 0.308 6.515 5.265
Tm 2.877 0.000 3.503
Tm 3.920 3.945 0.000
Tm 5.447 1.376 1.741
Tm 4.404 2.569 5.244
Ga -1.158 4.173 6.036
Ga -0.115 7.663 2.533
Ga 1.991 0.990 6.152
Ga 3.034 2.956 2.649
Ga 2.721 4.935 4.358
Ga 3.764 6.901 0.855
Ga 5.870 0.227 4.473
Ga 6.913 3.718 0.970
```

The following is a DFT calculation (GGA-PBE) of a relaxed NbFeIrRh crystal.

Calculated values
space group: I-4m2, No. 119
energy relative to the elements: -33.6 kJ per mole of atoms
total moment: 2.7 μB per formula unit

```
4
Lattice="-1.980 1.980 3.756 1.980 -1.980 3.756 1.980 1.980 -3.756" Properties=species:S:1:pos:R:3 pbc="T T T"
Nb 0.000 0.000 0.000
Fe 0.000 0.000 3.756
Ir 1.980 0.000 1.878
Rh 0.000 1.980 1.878
```

The following is a DFT calculation (GGA-PBE) of a relaxed LiNi2S crystal.

Calculated values
E_form (uncorrected): -162 meV per atom
space group: I-42d, No. 122
total moment: 0.0 μB per formula unit

```
8
Lattice="-1.809 1.809 7.652 1.809 -1.809 7.652 1.809 1.809 -7.652" Properties=species:S:1:pos:R:3 pbc="T T T"
Li 0.000 0.000 0.000
Li 0.000 1.809 3.826
Ni 0.904 1.039 -1.913
Ni 2.579 0.904 1.913
Ni 0.904 0.770 5.739
Ni -0.770 0.904 9.565
S 1.809 0.000 3.826
S 0.000 0.000 7.652
```

The following is a DFT calculation (GGA-PBE) of a relaxed Tb6Sm2YMg crystal.

Calculated values
space group: C2/c, No. 15
energy relative to the elements: 10.3 kJ per mole of atoms
total moment: 0.0 μB per formula unit

```
20
Lattice="4.952 -9.840 0.000 4.952 9.840 0.000 -1.085 0.000 6.560" Properties=species:S:1:pos:R:3 pbc="T T T"
Tb 2.894 4.703 1.826
Tb 3.329 6.931 6.365
Tb 4.949 6.931 3.475
Tb 3.751 1.685 0.130
Tb 6.468 4.703 1.454
Tb 3.209 -1.685 3.410
Tb 5.611 1.685 3.150
Tb 2.352 -4.703 5.106
Tb 5.069 -1.685 6.430
Tb 3.871 -6.931 3.085
Tb 5.491 -6.931 0.195
Tb 5.925 -4.703 4.734
Sm 2.099 1.637 3.313
Sm 2.641 -1.637 0.033
Sm 6.179 1.637 6.527
Sm 6.721 -1.637 3.247
Y 4.681 9.695 1.640
Y 4.139 -9.695 4.920
Mg 4.139 4.034 4.920
Mg 4.681 -4.034 1.640
```

The following is a DFT calculation (GGA-PBE) of a relaxed AcHo2Sc crystal.

Calculated values
space group: R3m, No. 160
energy relative to the elements: 10.6 kJ per mole of atoms
total moment: 0.0 μB per formula unit
energy above the lowest structure with this stoichiometry: 16 meV/atom

```
4
Lattice="1.811 1.046 11.467 -1.811 1.046 11.467 0.000 -2.091 11.467" Properties=species:S:1:pos:R:3 pbc="T T T"
Ac 0.000 0.000 0.000
Ho 0.000 0.000 8.381
Ho 0.000 0.000 14.588
Sc 0.000 0.000 28.703
```

The following is a DFT calculation (GGA-PBE) of a relaxed Pr3PaPt4 crystal.

Calculated values
space group: P2/c, No. 13
energy relative to the elements: -98.0 kJ per mole of atoms
total moment: 0.0 μB per formula unit

```
16
Lattice="7.293 0.000 0.000 0.000 8.417 0.000 -2.412 0.000 6.787" Properties=species:S:1:pos:R:3 pbc="T T T"
Pr -0.603 1.038 1.697
Pr -1.809 3.139 5.090
Pr -0.603 5.278 1.697
Pr -1.809 7.379 5.090
Pr 1.838 1.068 5.090
Pr 3.044 7.349 1.697
Pa 3.044 3.178 1.697
Pa 1.838 5.239 5.090
Pt 1.871 1.157 0.101
Pt 0.665 7.260 3.495
Pt 0.765 3.246 3.369
Pt -0.441 5.171 6.762
Pt 5.322 3.246 0.024
Pt 4.116 5.171 3.418
Pt 4.216 1.157 3.292
Pt 3.010 7.260 6.686
```

The following is a DFT calculation (GGA-PBE) of a relaxed NdHo2Cd crystal.

Calculated values
space group: Fm-3m, No. 225
energy relative to the elements: 2.2 kJ per mole of atoms
total moment: 0.3 μB per formula unit
energy above the lowest structure with this stoichiometry: 173 meV/atom

```
4
Lattice="0.000 3.868 3.868 3.868 0.000 3.868 3.868 3.868 0.000" Properties=species:S:1:pos:R:3 pbc="T T T"
Nd 0.000 0.000 0.000
Ho 1.934 1.934 1.934
Ho 5.803 5.803 5.803
Cd 3.868 3.868 3.868
```

The following is a DFT calculation (GGA-PBE) of a relaxed Hf2MnNi9 crystal.

Calculated values
space group: P4/mmm, No. 123
energy relative to the elements: -35.6 kJ per mole of atoms
total moment: 4.6 μB per formula unit

```
12
Lattice="3.689 0.000 0.000 0.000 3.689 0.000 0.000 0.000 10.963" Properties=species:S:1:pos:R:3 pbc="T T T"
Hf 0.000 0.000 1.897
Hf 0.000 0.000 9.065
Mn 0.000 0.000 5.481
Ni 0.000 1.845 0.000
Ni 0.000 1.845 3.752
Ni 0.000 1.845 7.211
Ni 1.845 0.000 0.000
Ni 1.845 0.000 3.752
Ni 1.845 0.000 7.211
Ni 1.845 1.845 1.861
Ni 1.845 1.845 5.481
Ni 1.845 1.845 9.102
```

The following is a DFT calculation (GGA-PBE) of a relaxed Li2GePbF8 crystal.

Calculated values
E_form (uncorrected): -2583 meV per atom
space group: P-1, No. 2
total moment: 0.0 μB per formula unit

```
12
Lattice="4.850 0.000 0.000 0.734 4.807 0.000 0.891 0.775 7.009" Properties=species:S:1:pos:R:3 pbc="T T T"
Li 0.509 0.441 1.970
Li 5.965 5.141 5.040
Ge 2.792 2.403 0.000
Pb 3.237 2.791 3.505
F 1.408 1.226 3.534
F 1.452 1.263 0.314
F 2.124 3.532 1.323
F 2.681 4.016 5.681
F 3.793 1.566 1.329
F 4.351 2.050 5.686
F 5.022 4.319 6.695
F 5.067 4.356 3.476
```

The following is a DFT calculation (GGA-PBE) of a relaxed AcTm2Tc crystal.

Calculated values
space group: R-3m, No. 166
energy relative to the elements: 24.8 kJ per mole of atoms
total moment: 0.0 μB per formula unit
energy above the lowest structure with this stoichiometry: 242 meV/atom

```
4
Lattice="1.770 1.022 11.039 -1.770 1.022 11.039 0.000 -2.044 11.039" Properties=species:S:1:pos:R:3 pbc="T T T"
Ac 0.000 0.000 0.000
Tm 0.000 0.000 3.608
Tm 0.000 0.000 29.510
Tc 0.000 0.000 16.559
```

The following is a DFT calculation (GGA-PBE) of a relaxed TaCuSe3 crystal.

Calculated values
E_form (uncorrected): 751 meV per atom
space group: Pm-3m, No. 221
total moment: 1.5 μB per formula unit

```
5
Lattice="4.684 0.000 0.000 0.000 4.684 0.000 0.000 0.000 4.684" Properties=species:S:1:pos:R:3 pbc="T T T"
Ta 0.000 0.000 0.000
Cu 2.342 2.342 2.342
Se 0.000 2.342 2.342
Se 2.342 0.000 2.342
Se 2.342 2.342 0.000
```